[1]
## Cd2SiHg (GGA-PBE)

Data for a geometry-optimized Cd2SiHg structure.

Cell: 11.0822 2.8545 5.7320 Å, 90.00 105.49 90.00°
Last column: nearest neighbours and their distance in Å.
Space group C2/m (No. 12)
One atom of each set of equivalent atoms:
Cd: 0.2407 0.0000 0.2450 x4  2 Cd 2.85, 2 Si 3.02, 2 Hg 3.19
Si: 0.0000 0.5000 0.0000 x2  2 Si 2.85, 4 Cd 3.02
Hg: 0.0000 0.0000 0.5000 x2  2 Hg 2.85, 4 Cd 3.19

## Properties
- Energy relative to the elements, uncorrected: 0.288 eV/atom
- E above lowest polymorph: 42 meV/atom
- Total magnetization: 0.0 μB per formula unit

***

[2]
## Sm2HoGa3Rh4 (GGA-PBE)

Data for a geometry-optimized Sm2HoGa3Rh4 structure.

Cell: 4.2610 4.2610 10.9057 Å, 90.00 90.00 90.00°
Last column: nearest neighbours and their distance in Å.
Space group P-4m2 (No. 115)
One atom of each set of equivalent atoms:
Sm: 0.0000 0.5000 0.2205 x2  8 Rh 3.21-3.31, 4 Ga 3.21
Ho: 0.0000 0.0000 0.5000 x1  4 Rh 2.71, 4 Ga 3.01
Ga: 0.0000 0.5000 0.8820 x2  5 Rh 2.49-2.50
Ga: 0.5000 0.5000 0.5000 x1  4 Rh 2.71, 4 Ho 3.01
Rh: 0.0000 0.0000 0.0000 x1  4 Ga 2.49
Rh: 0.0000 0.5000 0.6531 x2  3 Ga 2.50-2.71, 2 Ho 2.71
Rh: 0.5000 0.5000 0.0000 x1  4 Ga 2.49

## Properties
- Energy relative to the elements: -0.792 eV per atom
- Total magnetization: 0.0 μB per formula unit

***

[3]
## ZnCrW2 (GGA-PBE)

Data for a geometry-optimized ZnCrW2 structure.

Cell: 6.9764 6.9764 5.2395 Å, 90.00 90.00 90.00°
Last column: nearest neighbours and their distance in Å.
Space group I-42d (No. 122)
One atom of each set of equivalent atoms:
Zn: 0.0000 0.0000 0.0000 x4  2 Cr 2.62, 4 W 2.73
Cr: 0.0000 0.0000 0.5000 x4  4 W 2.39, 2 Zn 2.62
W: 0.2136 0.7500 0.6250 x8  2 Cr 2.39, 2 W 2.67

## Properties
- Energy relative to the elements: 0.898 eV per atom
- Total magnetization: 0.0 μB per formula unit

***

[4]
## LiIn2Au (GGA-PBE)

Data for a geometry-optimized LiIn2Au structure.

Cell: 4.2901 4.3550 4.3293 Å, 90.00 90.30 90.00°
Last column: nearest neighbours and their distance in Å.
Space group P2/m (No. 10)
One atom of each set of equivalent atoms:
Li: 0.0000 0.0000 0.0000 x1  8 In 3.04-3.06, 4 Au 3.07
In: 0.5000 0.0000 0.5000 x1  4 Li 3.04-3.06, 4 Au 3.06, 4 In 3.07
In: 0.5000 0.5000 0.0000 x1  4 Au 3.04-3.06, 4 Li 3.06, 4 In 3.07
Au: 0.0000 0.5000 0.5000 x1  8 In 3.04-3.06, 4 Li 3.07

## Properties
- Energy relative to the elements: -0.272 eV per atom
- Total magnetization: 0.0 μB per formula unit

***

[5]
## CaReW2 (GGA-PBE)

Data for a geometry-optimized CaReW2 structure.

Cell: 5.6679 9.5090 2.7041 Å, 90.00 108.25 90.00°
Last column: nearest neighbours and their distance in Å.
Space group C2/m (No. 12)
One atom of each set of equivalent atoms:
Ca: 0.0000 0.0000 0.0000 x2  2 Ca 2.70, 2 Re 2.83, 4 W 2.88
Re: 0.0000 0.5000 0.0000 x2  2 Re 2.70, 2 Ca 2.83, 4 W 2.88
W: 0.2500 0.2500 0.5000 x4  4 W 2.70-2.83, 2 Re 2.88, 2 Ca 2.88

## Properties
- E above lowest polymorph: 186 meV/atom
- Energy relative to the elements: 0.692 eV per atom
- Total magnetization: 0.0 μB per formula unit

***

[6]
## Rb2AgBrCl3 (GGA-PBE)

Data for a geometry-optimized Rb2AgBrCl3 structure.

Cell: 5.1600 5.2813 16.8074 Å, 90.00 90.00 90.00°
Last column: nearest neighbours and their distance in Å.
Space group Immm (No. 71)
One atom of each set of equivalent atoms:
Rb: 0.0000 0.0000 0.1450 x4  3 Cl 3.28-3.59, 2 Br 3.55
Ag: 0.0000 0.0000 0.5000 x2  4 Cl 2.58-2.68, 2 Br 2.64
Br: 0.0000 0.5000 0.5000 x2  2 Ag 2.64
Cl: 0.0000 0.0000 0.3403 x4  1 Ag 2.68
Cl: 0.0000 0.5000 0.0000 x2  2 Ag 2.58

## Properties
- Energy relative to the elements, uncorrected: -1.233 eV/atom
- Total magnetization: 0.0 μB per formula unit